Entry 1:
Material: YTlTe2
Method: DFT, PBE
State: relaxed

Geometry as POSCAR:
```
YTlTe2
1.0
-4.2058 -2.9402 -5.8789
2.3139 -7.1948 1.9429
-5.8696 -5.6245 1.8330
Te Tl Y
4 2 2
direct
0.8750 0.8260 0.7500
0.1740 0.6250 0.2500
0.5760 0.1250 0.2500
0.3750 0.4240 0.7500
0.7500 0.2500 0.5000
0.0000 0.0000 0.0000
0.2500 0.7500 0.5000
0.5000 0.5000 0.0000
```

Results
The formation energy from raw total energies comes out at -818 meV per atom.



Entry 2:
Material: DyNi3B
Method: DFT, PBE
State: relaxed

Geometry as POSCAR:
```
DyNi3B
1.0
-0.0743 1.5911 4.6142
-4.1896 -2.2618 3.2945
2.1058 -3.7249 3.9004
Ni Dy B
6 2 2
direct
0.5000 0.0000 0.5000
0.8493 0.5899 0.7114
0.1507 0.7886 0.9101
0.8493 0.2114 0.0899
0.0000 0.0000 0.5000
0.1507 0.4101 0.2886
0.5000 0.5000 0.5000
0.5000 0.0000 0.0000
0.9519 0.7981 0.2981
0.0481 0.2019 0.7019
```

Results
Its formation energy is -0.3735 eV per atom. The value obtained for the distance to the lowest polymorph of the same formula is 25 meV/atom.



Entry 3:
Material: NaHfTl
Method: DFT, PBE
State: relaxed

Geometry as POSCAR:
```
NaHfTl
1.0
17.2131 0.0000 -0.0156
8.3584 1.6259 -2.6829
-8.3584 1.6259 2.6829
Hf Tl Na
2 2 2
direct
0.4740 0.7050 0.2950
0.5260 0.2950 0.7050
0.0367 0.2991 0.7009
0.9633 0.7009 0.2991
0.5000 0.0000 0.0000
0.0000 0.0000 0.0000
```

Results
Its formation energy is 0.1643 eV per atom. The value obtained for the distance to the lowest polymorph of the same formula is 175 meV/atom.



Entry 4:
Material: Ac6SbAs3Se2
Method: DFT, PBE
State: relaxed

Geometry as POSCAR:
```
Ac6SbAs3Se2
1.0
-4.3374 -1.2229 0.7431
0.4148 -5.7742 -7.0811
5.0675 -4.9640 7.3733
As Se Ac Sb
3 2 6 1
direct
0.1667 0.8307 0.3334
0.5000 0.5000 0.0000
0.8333 0.1693 0.6666
0.1687 0.3362 0.3375
0.8313 0.6638 0.6625
0.3358 0.4115 0.6716
0.9986 0.2596 0.9972
0.6704 0.0781 0.3407
0.3296 0.9219 0.6593
0.6642 0.5885 0.3284
0.0014 0.7404 0.0028
0.5000 0.0000 0.0000
```

Results
The formation energy from raw total energies comes out at -1608 meV per atom.



Entry 5:
Material: TbHo3Sc6
Method: DFT, PBE
State: relaxed

Geometry as POSCAR:
```
TbHo3Sc6
1.0
5.8408 0.0000 0.0000
0.0000 10.2694 -1.4891
0.0000 -3.7431 9.6782
Sc Ho Tb
12 6 2
direct
0.0184 0.3859 0.2809
0.5184 0.2809 0.3859
0.1357 0.7116 0.2884
0.4303 0.9516 0.0484
0.8623 0.4574 0.0283
0.0184 0.7191 0.6141
0.3623 0.0283 0.4574
0.6357 0.2884 0.7116
0.3623 0.5426 0.9717
0.8623 0.9717 0.5426
0.9303 0.0484 0.9516
0.5184 0.6141 0.7191
0.9672 0.0703 0.2805
0.4672 0.9297 0.7195
0.9672 0.7195 0.9297
0.4672 0.2805 0.0703
0.0617 0.3957 0.6043
0.5617 0.6043 0.3957
0.1620 0.2113 0.7887
0.6620 0.7887 0.2113
```

Results
Its formation energy is 0.1564 eV per atom.



Entry 6:
Material: Cd4SeS3
Method: DFT, PBE
State: relaxed

Geometry as POSCAR:
```
Cd4SeS3
1.0
4.1846 0.0000 0.6539
2.0412 3.6530 0.6539
-0.0549 -0.0322 14.0681
Se Cd S
1 4 3
direct
0.0006 0.0006 0.9981
0.3098 0.3098 0.0707
0.8134 0.8134 0.5599
0.0651 0.0651 0.8048
0.5616 0.5616 0.3151
0.4998 0.4998 0.5005
0.2481 0.2481 0.2556
0.7515 0.7515 0.7454
```

Results
The formation energy from raw total energies comes out at -630 meV per atom. The value obtained for the distance to the lowest polymorph of the same formula is 4 meV/atom.



Entry 7:
Material: CoPd2Se4
Method: DFT, PBE
State: relaxed

Geometry as POSCAR:
```
CoPd2Se4
1.0
4.8571 0.0000 0.0000
0.0000 4.8571 0.0000
2.4286 2.4286 6.0049
Se Pd Co
4 2 1
direct
0.5000 0.0000 0.0000
0.8106 0.8106 0.3788
0.1894 0.1894 0.6212
0.0000 0.5000 0.0000
0.3888 0.3888 0.2225
0.6112 0.6112 0.7775
0.0000 0.0000 0.0000
```

Results
The formation energy from raw total energies comes out at 201 meV per atom.



Entry 8:
Material: CaTlCdSn
Method: DFT, PBE
State: relaxed

Geometry as POSCAR:
```
CaTlCdSn
1.0
-4.3171 -0.1579 -1.3271
1.1844 -3.2603 -3.4650
-0.8230 -3.5990 3.1051
Sn Tl Cd Ca
1 1 1 1
direct
0.5000 0.5000 0.0000
0.5000 0.0000 0.5000
0.0000 0.0000 0.0000
0.0000 0.5000 0.5000
```

Results
Its formation energy is -0.3035 eV per atom. The value obtained for the distance to the lowest polymorph of the same formula is 0 meV/atom.



Entry 9:
Material: AlInBi2H
Method: DFT, PBE
State: relaxed

Geometry as POSCAR:
```
AlInBi2H
1.0
5.8751 0.0000 0.0000
0.0000 5.8751 0.0000
0.0000 0.0000 3.4298
Al Bi H In
1 2 1 1
direct
0.0000 0.0000 0.0000
0.0000 0.5000 0.0000
0.5000 0.0000 0.0000
0.0000 0.0000 0.5000
0.5000 0.5000 0.5000
```

Results
The value obtained for the distance to the lowest polymorph of the same formula is 0 meV/atom.



Entry 10:
Material: GaSiF2
Method: DFT, PBE
State: relaxed

Geometry as POSCAR:
```
GaSiF2
1.0
1.5833 0.0000 7.8397
-0.7917 1.3712 7.8397
-0.7917 -1.3712 7.8397
F Si Ga
2 1 1
direct
0.9144 0.9144 0.9144
0.0856 0.0856 0.0856
0.5000 0.5000 0.5000
0.0000 0.0000 0.0000
```

Results
The formation energy from raw total energies comes out at -1153 meV per atom. The value obtained for the distance to the lowest polymorph of the same formula is 324 meV/atom.



Entry 11:
Material: Y3Re5
Method: DFT, PBE
State: relaxed

Geometry as POSCAR:
```
Y3Re5
1.0
-1.7058 3.6949 -4.1258
-1.0306 -5.3516 -1.9702
-4.3410 0.1318 1.9128
Y Re
3 5
direct
0.2719 0.7281 0.5000
0.5000 0.5000 0.0000
0.7281 0.2719 0.5000
0.0000 0.5000 0.0000
0.0000 0.0000 0.0000
0.5000 0.0000 0.0000
0.8158 0.8158 0.5000
0.1842 0.1842 0.5000
```

Results
Its formation energy is 0.4160 eV per atom. The value obtained for the distance to the lowest polymorph of the same formula is 0 meV/atom.



Entry 12:
Material: LiBi2
Method: DFT, PBE
State: relaxed

Geometry as POSCAR:
```
LiBi2
1.0
-0.1758 -0.0055 4.0553
-1.7436 -3.6644 -0.0927
5.5236 -0.2891 -1.8328
Li Bi
1 2
direct
0.5000 0.5000 0.0000
0.8377 0.8377 0.6679
0.1623 0.1623 0.3321
```

Results
Its formation energy is -0.1179 eV per atom. The value obtained for the distance to the lowest polymorph of the same formula is 52 meV/atom.